(1)
First-principles (PBE-GGA) data for a geometry-optimized TaRe2Ni structure, as listed in the Alexandria database.

Summary:
For the density of states at the Fermi level, the calculation gives 1.273 states/eV/atom.

Structure (POSCAR):
```
TaRe2Ni
1.0
5.108 0.001 0.010
2.284 4.569 -0.010
-3.299 -2.927 2.577
Re Ta Ni
2 1 1
Cartesian
3.717 2.298 0.000 Re
7.370 4.557 0.000 Re
2.752 -0.320 1.293 Ta
1.340 1.963 1.284 Ni
```

***

(2)
First-principles (PBE-GGA) data for a geometry-optimized TaRe2Ni structure, as listed in the Alexandria database.

Summary:
For the density of states at the Fermi level, the calculation gives 0.915 states/eV/atom.

Structure (POSCAR):
```
TaRe2Ni
1.0
-0.233 2.727 2.499
-2.467 -1.980 1.930
5.647 -3.542 7.141
Re Ni Ta
4 2 2
Cartesian
1.949 -1.941 9.171 Re
-0.167 -1.697 3.382 Re
0.965 0.487 3.511 Re
3.146 -2.438 7.076 Re
0.915 -2.574 5.643 Ni
-1.350 0.373 2.214 Ni
2.032 -0.221 5.927 Ta
0.000 0.000 0.000 Ta
```

***

Pick the most stable structure from those above. Pick: (1)